DFT (SCAN) results for a crystal of LiPW4O13 relaxed with PBEsol.

Lattice parameters (Å, degrees): 9.970 10.044 9.800 90.00 90.00 90.00
Space group Pnma (No. 62)
One atom of each set of equivalent atoms:
Li  0.198  0.250  0.200 (multiplicity 4)
P  0.249  0.250  0.946 (multiplicity 4)
W  0.000  0.107  0.748 (multiplicity 8)
W  0.247  0.576  0.963 (multiplicity 8)
O  0.112  0.515  0.842 (multiplicity 8)
O  0.118  0.014  0.341 (multiplicity 8)
O  0.118  0.612  0.099 (multiplicity 8)
O  0.119  0.107  0.597 (multiplicity 8)
O  0.122  0.750  0.359 (multiplicity 4)
O  0.127  0.250  0.847 (multiplicity 4)
O  0.242  0.128  0.040 (multiplicity 8)
O  0.250  0.250  0.384 (multiplicity 4)

Calculated values
total DFT energy (no corrections)	-21.80	eV/atom
magnetic moment	0.00	μB/f.u.
raw formation energy	-2.19	eV per atom